# ReMoNF2 PBE with a Hubbard U optimized geometry
data_ReMoNF2
_chemical_formula_sum 'Re1 Mo1 N1 F2'
_symmetry_space_group_name_H-M 'P 4/m m m'
_symmetry_Int_Tables_number 123
_symmetry_space_group_name_Hall '-P 4 2'
_cell_length_a 4.1747
_cell_length_b 4.1747
_cell_length_c 4.3077
_cell_angle_alpha 90.00
_cell_angle_beta 90.00
_cell_angle_gamma 90.00
loop_
_atom_site_label
_atom_site_type_symbol
_atom_site_fract_x
_atom_site_fract_y
_atom_site_fract_z
Re1 Re 0.0000 0.0000 0.0000
Mo1 Mo 0.5000 0.5000 0.5000
N1 N 0.5000 0.5000 0.0000
F1 F 0.0000 0.5000 0.5000
# DOS(E_F) = 0.316 states/eV per atom
# polymorph energy (0 for the lowest one) = 41.40 kJ/mol of atoms